Entry 1:
The following is a DFT calculation (GGA-PBE) of crystalline TlZnF3 at its relaxed geometry.

- Formation energy (no corrections): -1337 meV/atom
- SG: I-4m2
- Magnetic moment: 0.000 μB per formula unit

abc: 8.8208 8.8208 8.8208
angles: 148.10 148.10 45.74
Last column: nearest neighbours and their distance in Å.
Fractional positions:
1 Tl 0.0000 0.0000 0.0000  4 F 2.56
2 Tl 0.7500 0.2500 0.5000  4 F 2.18
3 Zn 0.1778 0.6778 0.5000  1 Zn 2.35, 2 F 2.44
4 Zn 0.3222 0.8222 0.5000  1 Zn 2.35, 2 F 2.44
5 F 0.3078 0.3078 0.0000  2 Zn 2.44, 2 Tl 2.60
6 F 0.3835 0.1400 0.2435  1 Tl 2.18, 1 F 2.36
7 F 0.6922 0.6922 0.0000  2 Zn 2.44, 2 Tl 2.60
8 F 0.8600 0.1035 0.2435  1 Tl 2.18, 1 F 2.36
9 F 0.8600 0.6165 0.7565  1 Tl 2.18, 1 F 2.36
10 F 0.8965 0.1400 0.7565  1 Tl 2.18, 1 F 2.36



Entry 2:
The following is a DFT calculation (GGA-PBE) of crystalline CsCeSn2 at its relaxed geometry.

- DFT total energy: -4.072 eV per atom
- SG: P4/mmm
- Magnetic moment: 0.736 μB per formula unit

abc: 4.2541 4.2541 8.3547
angles: 90.00 90.00 90.00
Last column: nearest neighbours and their distance in Å.
Fractional positions:
1 Cs 0.0000 0.0000 0.0000  8 Sn 4.07, 2 Ce 4.18, 4 Cs 4.25
2 Ce 0.0000 0.0000 0.5000  8 Sn 3.33
3 Sn 0.5000 0.5000 0.3284  1 Sn 2.87
4 Sn 0.5000 0.5000 0.6716  1 Sn 2.87



Entry 3:
The following is a DFT calculation (GGA-PBE) of crystalline AcTmCd2 at its relaxed geometry.

- Distance to the lowest polymorph of the same formula: 0.0000 eV per atom
- SG: P4/mmm
- Magnetic moment: 0.001 μB per formula unit

abc: 3.8182 3.8182 8.0425
angles: 90.00 90.00 90.00
Last column: nearest neighbours and their distance in Å.
Fractional positions:
1 Ac 0.0000 0.0000 0.0000  8 Cd 3.56, 4 Ac 3.82
2 Tm 0.0000 0.0000 0.5000  8 Cd 3.19
3 Cd 0.5000 0.5000 0.2884  4 Tm 3.19, 1 Cd 3.40, 4 Ac 3.56
4 Cd 0.5000 0.5000 0.7116  4 Tm 3.19, 1 Cd 3.40, 4 Ac 3.56



Entry 4:
The following is a DFT calculation (GGA-PBE) of crystalline AcCe2SmTe5 at its relaxed geometry.

- Formation energy (no corrections): -870 meV/atom
- SG: P4/mmm
- Magnetic moment: 3.513 μB per formula unit

abc: 5.6388 5.6388 12.2822
angles: 90.00 90.00 90.00
Last column: nearest neighbours and their distance in Å.
Fractional positions:
1 Ac 0.0000 0.0000 0.0000  2 Te 3.11
2 Ce 0.5000 0.5000 0.3477  4 Te 3.38, 1 Ce 3.74
3 Ce 0.5000 0.5000 0.6523  4 Te 3.38, 1 Ce 3.74
4 Sm 0.0000 0.0000 0.5000  6 Te 2.82-3.03
5 Te 0.0000 0.0000 0.2534  1 Sm 3.03, 1 Ac 3.11
6 Te 0.0000 0.0000 0.7466  1 Sm 3.03, 1 Ac 3.11
7 Te 0.0000 0.5000 0.5000  2 Sm 2.82
8 Te 0.5000 0.0000 0.5000  2 Sm 2.82
9 Te 0.5000 0.5000 0.0000  4 Ac 3.99, 2 Ce 4.27



> Which value of magnetic moment does entry 1 give?

0.000 μB per formula unit



> Look up the magnetic moment of the second one.

0.736 μB per formula unit



Repeat the third record exactly.
The following is a DFT calculation (GGA-PBE) of crystalline AcTmCd2 at its relaxed geometry.

- Distance to the lowest polymorph of the same formula: 0.0000 eV per atom
- SG: P4/mmm
- Magnetic moment: 0.001 μB per formula unit

abc: 3.8182 3.8182 8.0425
angles: 90.00 90.00 90.00
Last column: nearest neighbours and their distance in Å.
Fractional positions:
1 Ac 0.0000 0.0000 0.0000  8 Cd 3.56, 4 Ac 3.82
2 Tm 0.0000 0.0000 0.5000  8 Cd 3.19
3 Cd 0.5000 0.5000 0.2884  4 Tm 3.19, 1 Cd 3.40, 4 Ac 3.56
4 Cd 0.5000 0.5000 0.7116  4 Tm 3.19, 1 Cd 3.40, 4 Ac 3.56